[1]
DFT (PBE) results for crystalline PmAlTc at its relaxed geometry.

The space group is F-43m (No. 216) and the conventional cell measures 6.4654, 6.4654 and 6.4654 Å, with angles of 90.00, 90.00 and 90.00 degrees. The distinct sites, in fractional coordinates, are Pm at (0.0000, 0.0000, 0.0000), Al at (0.2500, 0.2500, 0.2500) and Tc at (0.0000, 0.0000, 0.5000).

For the calculated density, the calculation gives 6.6 g/cm3. As for the crystal system: cubic. The total magnetic moment comes out at 0.04 μB/cell. The calculation puts the offset from the most stable computed form at 0.0 meV/atom.



[2]
DFT (PBE) results for crystalline BeAlFeAg at its relaxed geometry.

The space group is F-43m (No. 216) and the conventional cell measures 5.9601, 5.9601 and 5.9601 Å, with angles of 90.00, 90.00 and 90.00 degrees. The distinct sites, in fractional coordinates, are Be at (0.0000, 0.0000, 0.0000), Al at (0.2500, 0.2500, 0.2500), Fe at (0.0000, 0.0000, 0.5000) and Ag at (0.2500, 0.2500, 0.7500).

For the calculated density, the calculation gives 6.3 g/cm3. As for the crystal system: cubic. The total magnetic moment comes out at 8.01 μB/cell. The calculation puts the offset from the most stable computed form at 136.4 meV/atom.



[3]
DFT (PBE) results for crystalline Gd2HoIn3Ni2Ag at its relaxed geometry.

The space group is Amm2 (No. 38) and the conventional cell measures 3.9203, 13.0959 and 7.5676 Å, with angles of 90.00, 90.00 and 90.00 degrees. The distinct sites, in fractional coordinates, are Gd at (0.0000, 0.2061, 0.0000), Ho at (0.0000, 0.0000, 0.3805), In at (0.5000, 0.0000, 0.0650), In at (0.5000, 0.1346, 0.6570), Ni at (0.5000, 0.1655, 0.2934) and Ag at (0.0000, 0.0000, 0.7921).

Its total energy is -4.47 eV/atom. For the calculated density, the calculation gives 9.0 g/cm3. As for the crystal system: orthorhombic. The total magnetic moment comes out at 0.01 μB/cell.



[4]
DFT (PBE) results for crystalline TmTlAgSe3 at its relaxed geometry.

The space group is C2/m (No. 12) and the conventional cell measures 17.0114, 4.1281 and 9.2659 Å, with angles of 90.00, 104.68 and 90.00 degrees. The distinct sites, in fractional coordinates, are Tm at (0.1683, 0.0000, 0.0887), Tl at (0.1399, 0.0000, 0.5696), Ag at (0.0076, 0.5000, 0.2131), Se at (0.0000, 0.0000, 0.0000), Se at (0.0000, 0.5000, 0.5000), Se at (0.1618, 0.5000, 0.8733) and Se at (0.1717, 0.5000, 0.3021).

For the calculated density, the calculation gives 7.6 g/cm3. As for the crystal system: monoclinic. The total magnetic moment comes out at 0.03 μB/cell. The calculation puts the offset from the most stable computed form at 0.0 meV/atom.



[5]
DFT (PBE) results for crystalline Gd3Tl3Sn4 at its relaxed geometry.

The space group is Cmmm (No. 65) and the conventional cell measures 4.5196, 24.9969 and 4.7358 Å, with angles of 90.00, 90.00 and 90.00 degrees. The distinct sites, in fractional coordinates, are Gd at (0.0000, 0.0000, 0.0000), Gd at (0.0000, 0.1892, 0.0000), Tl at (0.0000, 0.0988, 0.5000), Tl at (0.0000, 0.5000, 0.5000), Sn at (0.0000, 0.2923, 0.5000) and Sn at (0.0000, 0.4040, 0.0000).

For the calculated density, the calculation gives 9.7 g/cm3. As for the crystal system: orthorhombic. The total magnetic moment comes out at 0.02 μB/cell. The calculation puts the offset from the most stable computed form at 0.0 meV/atom.



[6]
DFT (PBE) results for crystalline ErSi2IrPd at its relaxed geometry.

The space group is I-4m2 (No. 119) and the conventional cell measures 4.0686, 4.0686 and 10.0250 Å, with angles of 90.00, 90.00 and 90.00 degrees. The distinct sites, in fractional coordinates, are Er at (0.0000, 0.0000, 0.0000), Si at (0.0000, 0.0000, 0.3839), Ir at (0.0000, 0.5000, 0.2500) and Pd at (0.0000, 0.5000, 0.7500).

Its total energy is -6.84 eV/atom. For the calculated density, the calculation gives 10.4 g/cm3. As for the crystal system: tetragonal. The total magnetic moment comes out at 0.00 μB/cell.



[7]
DFT (PBE) results for crystalline TaBeRePb at its relaxed geometry.

The space group is F-43m (No. 216) and the conventional cell measures 6.4103, 6.4103 and 6.4103 Å, with angles of 90.00, 90.00 and 90.00 degrees. The distinct sites, in fractional coordinates, are Ta at (0.0000, 0.0000, 0.0000), Be at (0.2500, 0.2500, 0.2500), Re at (0.0000, 0.0000, 0.5000) and Pb at (0.2500, 0.2500, 0.7500).

For the calculated density, the calculation gives 14.7 g/cm3. As for the crystal system: cubic. The total magnetic moment comes out at 0.03 μB/cell. The calculation puts the offset from the most stable computed form at 258.1 meV/atom.



[8]
DFT (PBE) results for crystalline SrGdHo at its relaxed geometry.

The space group is F-43m (No. 216) and the conventional cell measures 8.1248, 8.1248 and 8.1248 Å, with angles of 90.00, 90.00 and 90.00 degrees. The distinct sites, in fractional coordinates, are Sr at (0.0000, 0.0000, 0.0000), Gd at (0.0000, 0.0000, 0.5000) and Ho at (0.2500, 0.2500, 0.7500).

Its total energy is -2.83 eV/atom. For the calculated density, the calculation gives 5.1 g/cm3. As for the crystal system: cubic. The total magnetic moment comes out at 0.03 μB/cell.



[9]
DFT (PBE) results for crystalline GdZrPO at its relaxed geometry.

The space group is Pmma (No. 51) and the conventional cell measures 5.0847, 4.1109 and 7.4531 Å, with angles of 90.00, 90.00 and 90.00 degrees. The distinct sites, in fractional coordinates, are Gd at (0.2500, 0.0000, 0.1425), Zr at (0.2500, 0.5000, 0.7309), P at (0.2500, 0.5000, 0.3780) and O at (0.2500, 0.0000, 0.8259).

For the calculated density, the calculation gives 6.3 g/cm3. As for the crystal system: orthorhombic. The total magnetic moment comes out at 0.00 μB/cell. The calculation puts the offset from the most stable computed form at 202.5 meV/atom.



[10]
DFT (PBE) results for crystalline Mg2TcGe at its relaxed geometry.

The space group is F-43m (No. 216) and the conventional cell measures 6.3761, 6.3761 and 6.3761 Å, with angles of 90.00, 90.00 and 90.00 degrees. The distinct sites, in fractional coordinates, are Mg at (0.0000, 0.0000, 0.0000), Mg at (0.2500, 0.2500, 0.2500), Tc at (0.2500, 0.2500, 0.7500) and Ge at (0.0000, 0.0000, 0.5000).

Its total energy is -4.37 eV/atom. For the calculated density, the calculation gives 5.6 g/cm3. As for the crystal system: cubic. The total magnetic moment comes out at 0.06 μB/cell.



[11]
DFT (PBE) results for crystalline TaFeHgAs at its relaxed geometry.

The space group is F-43m (No. 216) and the conventional cell measures 6.4986, 6.4986 and 6.4986 Å, with angles of 90.00, 90.00 and 90.00 degrees. The distinct sites, in fractional coordinates, are Ta at (0.0000, 0.0000, 0.0000), Fe at (0.2500, 0.2500, 0.7500), Hg at (0.2500, 0.2500, 0.2500) and As at (0.0000, 0.0000, 0.5000).

For the calculated density, the calculation gives 12.4 g/cm3. As for the crystal system: cubic. The total magnetic moment comes out at 1.30 μB/cell. The calculation puts the offset from the most stable computed form at 208.9 meV/atom.



[12]
DFT (PBE) results for crystalline Tl3Sn2Pt2 at its relaxed geometry.

The space group is P6_3/mmc (No. 194) and the conventional cell measures 4.7381, 4.7381 and 18.1327 Å, with angles of 90.00, 90.00 and 120.00 degrees. The distinct sites, in fractional coordinates, are Tl at (0.0000, 0.0000, 0.1564), Tl at (0.3333, 0.6667, 0.2500), Sn at (0.3333, 0.6667, 0.5508), Pt at (0.0000, 0.0000, 0.0000) and Pt at (0.3333, 0.6667, 0.7500).

Its total energy is -3.94 eV/atom. For the calculated density, the calculation gives 11.7 g/cm3. As for the crystal system: hexagonal. The total magnetic moment comes out at 0.00 μB/cell.



[13]
DFT (PBE) results for crystalline NdTm2Sn3PdPt2 at its relaxed geometry.

The space group is Amm2 (No. 38) and the conventional cell measures 4.0292, 13.1323 and 7.5091 Å, with angles of 90.00, 90.00 and 90.00 degrees. The distinct sites, in fractional coordinates, are Nd at (0.0000, 0.0000, 0.0000), Tm at (0.0000, 0.2042, 0.3859), Sn at (0.5000, 0.0000, 0.3338), Sn at (0.5000, 0.1293, 0.7165), Pd at (0.0000, 0.0000, 0.5846) and Pt at (0.5000, 0.1711, 0.0917).

Its total energy is -5.81 eV/atom. For the calculated density, the calculation gives 11.2 g/cm3. As for the crystal system: orthorhombic. The total magnetic moment comes out at 0.01 μB/cell.



[14]
DFT (PBE) results for crystalline SiB2W3 at its relaxed geometry.

The space group is P6_3/mmc (No. 194) and the conventional cell measures 3.1760, 3.1760 and 17.2202 Å, with angles of 90.00, 90.00 and 120.00 degrees. The distinct sites, in fractional coordinates, are Si at (0.0000, 0.0000, 0.2500), B at (0.3333, 0.6667, 0.0756), W at (0.0000, 0.0000, 0.0000) and W at (0.3333, 0.6667, 0.6459).

Its total energy is -9.76 eV/atom. For the calculated density, the calculation gives 13.3 g/cm3. As for the crystal system: hexagonal. The total magnetic moment comes out at 0.00 μB/cell.



[15]
DFT (PBE) results for crystalline NaSmZn at its relaxed geometry.

The space group is F-43m (No. 216) and the conventional cell measures 7.1056, 7.1056 and 7.1056 Å, with angles of 90.00, 90.00 and 90.00 degrees. The distinct sites, in fractional coordinates, are Na at (0.0000, 0.0000, 0.0000), Sm at (0.2500, 0.2500, 0.2500) and Zn at (0.0000, 0.0000, 0.5000).

For the calculated density, the calculation gives 4.4 g/cm3. As for the crystal system: cubic. The total magnetic moment comes out at 0.11 μB/cell. The calculation puts the offset from the most stable computed form at 335.1 meV/atom.



[16]
DFT (PBE) results for crystalline TmScMo at its relaxed geometry.

The space group is F-43m (No. 216) and the conventional cell measures 6.7046, 6.7046 and 6.7046 Å, with angles of 90.00, 90.00 and 90.00 degrees. The distinct sites, in fractional coordinates, are Tm at (0.0000, 0.0000, 0.0000), Sc at (0.2500, 0.2500, 0.2500) and Mo at (0.2500, 0.2500, 0.7500).

For the calculated density, the calculation gives 6.8 g/cm3. As for the crystal system: cubic. The total magnetic moment comes out at 7.39 μB/cell. For the energy relative to the elements, the calculation gives 1225 meV/atom. The calculation puts the offset from the most stable computed form at 134.3 meV/atom.



[17]
DFT (PBE) results for crystalline Na2W at its relaxed geometry.

The space group is Fd-3m (No. 227, origin choice 2) and the conventional cell measures 7.5654, 7.5654 and 7.5654 Å, with angles of 90.00, 90.00 and 90.00 degrees. The distinct sites, in fractional coordinates, are Na at (0.0000, 0.0000, 0.0000) and W at (0.1250, 0.1250, 0.6250).

For the calculated density, the calculation gives 7.1 g/cm3. As for the crystal system: cubic. The total magnetic moment comes out at 0.01 μB/cell. The calculation puts the offset from the most stable computed form at 284.9 meV/atom.



[18]
DFT (PBE) results for crystalline TaBiSb at its relaxed geometry.

The space group is F-43m (No. 216) and the conventional cell measures 6.9539, 6.9539 and 6.9539 Å, with angles of 90.00, 90.00 and 90.00 degrees. The distinct sites, in fractional coordinates, are Ta at (0.0000, 0.0000, 0.0000), Bi at (0.0000, 0.0000, 0.5000) and Sb at (0.2500, 0.2500, 0.7500).

For the calculated density, the calculation gives 10.1 g/cm3. As for the crystal system: cubic. The total magnetic moment comes out at 3.82 μB/cell. The calculation puts the offset from the most stable computed form at 426.4 meV/atom.



[19]
DFT (PBE) results for crystalline Rb2PtClF3 at its relaxed geometry.

The space group is Amm2 (No. 38) and the conventional cell measures 3.7523, 9.6845 and 8.0569 Å, with angles of 90.00, 90.00 and 90.00 degrees. The distinct sites, in fractional coordinates, are Rb at (0.0000, 0.2185, 0.0000), Pt at (0.5000, 0.0000, 0.2754), Cl at (0.5000, 0.0000, 0.5585), F at (0.5000, 0.0000, 0.0216) and F at (0.5000, 0.2070, 0.2658).

Its total energy is -4.09 eV/atom. For the calculated density, the calculation gives 5.2 g/cm3. As for the crystal system: orthorhombic. The total magnetic moment comes out at 0.00 μB/cell.



[20]
DFT (PBE) results for crystalline Sn2Pt2O5 at its relaxed geometry.

The space group is P4/mmm (No. 123) and the conventional cell measures 3.7109, 3.7109 and 8.7168 Å, with angles of 90.00, 90.00 and 90.00 degrees. The distinct sites, in fractional coordinates, are Sn at (0.0000, 0.0000, 0.2347), Pt at (0.5000, 0.5000, 0.0000), Pt at (0.5000, 0.5000, 0.5000), O at (0.0000, 0.0000, 0.0000) and O at (0.0000, 0.5000, 0.3497).

For the calculated density, the calculation gives 9.8 g/cm3. As for the crystal system: tetragonal. The total magnetic moment comes out at 1.04 μB/cell. The calculation puts the offset from the most stable computed form at 38.8 meV/atom.